(1)
## LiCa2S (GGA-PBE)

Data for a geometry-optimized LiCa2S structure.

Computed properties:
Uncorrected energy = -3.2304 eV/atom
M_tot = 0.0 μB/cell
DOS at the Fermi energy = 0.473 states/eV/atom
ΔE_f (raw) = -0.72 eV per atom

Unit cell a=8.066 b=8.066 c=7.836 alpha=90.00 beta=90.00 gamma=90.00
Space group I-42d (No. 122)
Unique sites:
Li: 0.000 0.000 0.000 x4
Ca: 0.189 0.250 0.625 x8
S: 0.000 0.000 0.500 x4


(2)
## Ag5Rh (GGA-PBE)

Data for a geometry-optimized Ag5Rh structure.

Computed properties:
Uncorrected energy = -3.1151 eV/atom
M_tot = 0.0 μB/cell
DOS at the Fermi energy = 0.473 states/eV/atom
E_form = 486 meV per atom
Relative energy among the computed polymorphs = 351 meV per atom

Unit cell a=5.3098 b=5.3098 c=4.7354 alpha=90.00 beta=90.00 gamma=120.00
Space group P6/mmm (No. 191)
Unique sites:
Ag: 0.0000 0.5000 0.0000 x3
Ag: 0.3333 0.6667 0.5000 x2
Rh: 0.0000 0.0000 0.5000 x1


(3)
## KMnB (GGA-PBE)

Data for a geometry-optimized KMnB structure.

Computed properties:
Uncorrected energy = -5.2872 eV/atom
M_tot = 3.2 μB/cell
DOS at the Fermi energy = 0.779 states/eV/atom
E_form = 361 meV per atom
Relative energy among the computed polymorphs = 68 meV per atom

Unit cell a=3.374 b=4.285 c=9.978 alpha=90.00 beta=98.40 gamma=90.00
Space group P2_1/m (No. 11)
Unique sites:
K: 0.124 0.250 0.289 x2
Mn: 0.478 0.250 0.950 x2
B: 0.000 0.000 0.000 x2


(4)
## ZnIn5Pd8 (GGA-PBE)

Data for a geometry-optimized ZnIn5Pd8 structure.

Computed properties:
Uncorrected energy = -4.4544 eV/atom
M_tot = 0.0 μB/cell
DOS at the Fermi energy = 0.438 states/eV/atom
E_form = -418 meV per atom

Unit cell a=7.893 b=7.893 c=8.064 alpha=90.00 beta=90.00 gamma=90.00
Space group I-4 (No. 82)
Unique sites:
Zn: 0.000 0.000 0.000 x2
In: 0.000 0.500 0.250 x2
In: 0.120 0.234 0.596 x8
Pd: 0.076 0.321 0.923 x8
Pd: 0.083 0.169 0.260 x8


(5)
## CdSb2Ir2 (GGA-PBE)

Data for a geometry-optimized CdSb2Ir2 structure.

Computed properties:
Uncorrected energy = -5.2518 eV/atom
M_tot = 0.0 μB/cell
DOS at the Fermi energy = 0.725 states/eV/atom
ΔE_f (raw) = 0.12 eV per atom
Relative energy among the computed polymorphs = 98 meV per atom

Unit cell a=7.448 b=7.448 c=3.587 alpha=90.00 beta=90.00 gamma=90.00
Space group P4/mbm (No. 127)
Unique sites:
Cd: 0.000 0.000 0.000 x2
Sb: 0.159 0.341 0.500 x4
Ir: 0.139 0.639 0.000 x4


(6)
## LaCeHgIr (GGA-PBE)

Data for a geometry-optimized LaCeHgIr structure.

Computed properties:
Uncorrected energy = -5.4501 eV/atom
M_tot = 3.0 μB/cell
DOS at the Fermi energy = 1.822 states/eV/atom
E_form = -444 meV per atom
Relative energy among the computed polymorphs = 147 meV per atom

Unit cell a=7.392 b=7.392 c=7.392 alpha=90.00 beta=90.00 gamma=90.00
Space group F-43m (No. 216)
Unique sites:
La: 0.000 0.000 0.000 x4
Ce: 0.000 0.000 0.500 x4
Hg: 0.250 0.250 0.250 x4
Ir: 0.250 0.250 0.750 x4